Record 1
A plane-wave DFT calculation with PBEsol was carried out for a geometry-optimized MnH4Br2O2 structure.

abc: 7.810 8.732 3.851
angles: 90.00 100.93 90.00
Space group C2/m (No. 12)
Asymmetric unit:
Mn  0.000  0.000  0.000 (multiplicity 2)
H  0.085  0.305  0.153 (multiplicity 8)
Br  0.245  0.000  0.580 (multiplicity 4)
O  0.000  0.238  0.000 (multiplicity 4)

---

Record 2
A plane-wave DFT calculation with PBEsol was carried out for a geometry-optimized ZrMn2HBr structure.

abc: 5.116 5.116 5.068
angles: 90.00 90.00 90.00
Space group P4/mmm (No. 123)
Asymmetric unit:
Zr  0.000  0.000  0.000 (multiplicity 1)
Mn  0.000  0.500  0.000 (multiplicity 2)
H  0.500  0.500  0.500 (multiplicity 1)
Br  0.000  0.000  0.500 (multiplicity 1)

---

Record 3
A plane-wave DFT calculation with PBEsol was carried out for a geometry-optimized ScH3Br3N structure.

abc: 7.329 9.497 9.542
angles: 73.52 77.28 80.72
Space group P-1 (No. 2)
Asymmetric unit:
Sc  0.078  0.197  0.443 (multiplicity 2)
Sc  0.400  0.307  0.053 (multiplicity 2)
H  0.207  0.764  0.010 (multiplicity 2)
H  0.238  0.412  0.509 (multiplicity 2)
H  0.239  0.265  0.654 (multiplicity 2)
H  0.291  0.761  0.158 (multiplicity 2)
H  0.305  0.908  0.013 (multiplicity 2)
H  0.402  0.271  0.504 (multiplicity 2)
Br  0.087  0.420  0.204 (multiplicity 2)
Br  0.098  0.961  0.668 (multiplicity 2)
Br  0.223  0.681  0.432 (multiplicity 2)
Br  0.230  0.180  0.926 (multiplicity 2)
Br  0.403  0.087  0.294 (multiplicity 2)
Br  0.410  0.546  0.830 (multiplicity 2)
N  0.261  0.297  0.539 (multiplicity 2)
N  0.317  0.793  0.043 (multiplicity 2)

---

Values for electronic total energy, eV per atom, ordered as above
-5.053; -5.322; -4.952